# 1
! Sn2Ge2Te | the Alexandria database | PBE-GGA | optimized geometry; values from VASP
&SYSTEM
  ibrav = 0, nat = 5, ntyp = 3
/
ATOMIC_SPECIES
Ge 72.64 Ge.upf
Te 127.60 Te.upf
Sn 118.71 Sn.upf
CELL_PARAMETERS angstrom
-0.9138 -3.8397 -0.5462
3.8751 -0.8810 -0.2894
1.8050 -3.5861 7.6556
ATOMIC_POSITIONS angstrom
Ge 1.1859 -4.8930 3.3458
Ge 3.5804 -3.4137 3.4742
Te 0.0000 0.0000 0.0000
Sn 1.5518 -2.6291 1.3524
Sn 3.2145 -5.6776 5.4675
! offset from the most stable computed form	0	meV per atom
! raw formation energy	0.10	eV per atom



# 2
! GaSiN | the Alexandria database | PBE-GGA | optimized geometry; values from VASP
&SYSTEM
  ibrav = 0, nat = 9, ntyp = 3
/
ATOMIC_SPECIES
Ga 69.72 Ga.upf
Si 28.09 Si.upf
N 14.01 N.upf
CELL_PARAMETERS angstrom
2.8592 0.0000 0.0000
-1.4296 2.4761 0.0000
0.0000 0.0000 20.7309
ATOMIC_POSITIONS angstrom
Ga 0.0000 0.0000 10.9591
Ga 0.0000 1.6508 4.0488
Ga 1.4296 0.8254 17.8694
Si 0.0000 0.0000 8.4539
Si 0.0000 1.6508 1.5436
Si 1.4296 0.8254 15.3641
N 0.0000 0.0000 14.7625
N 0.0000 1.6508 7.8522
N 1.4296 0.8254 0.9419
! offset from the most stable computed form	124	meV per atom
! raw formation energy	-0.29	eV per atom



# 3
! BeInSb2 | the Alexandria database | PBE-GGA | optimized geometry; values from VASP
&SYSTEM
  ibrav = 0, nat = 4, ntyp = 3
/
ATOMIC_SPECIES
Sb 121.76 Sb.upf
Be 9.01 Be.upf
In 114.82 In.upf
CELL_PARAMETERS angstrom
4.2801 0.0000 0.0000
0.0000 5.4587 0.0000
0.0000 0.0000 4.0897
ATOMIC_POSITIONS angstrom
Sb 0.0000 0.0000 0.0000
Sb 2.1401 2.7293 0.0000
Be 2.1401 0.0000 2.0448
In 0.0000 2.7293 2.0448
! offset from the most stable computed form	438	meV per atom
! raw formation energy	0.53	eV per atom



# 4
! Ti6IrRh3 | the Alexandria database | PBE-GGA | optimized geometry; values from VASP
&SYSTEM
  ibrav = 0, nat = 20, ntyp = 3
/
ATOMIC_SPECIES
Ti 47.87 Ti.upf
Ir 192.22 Ir.upf
Rh 102.91 Rh.upf
CELL_PARAMETERS angstrom
-2.4136 4.7409 -4.6298
-5.0098 0.6453 3.2726
3.2931 5.9484 3.8683
ATOMIC_POSITIONS angstrom
Ti 0.8503 8.8781 1.0105
Ti -0.5400 6.7085 -0.4494
Ti -2.8574 5.4344 -1.5521
Ti -1.2730 5.9002 4.0632
Ti -3.5904 4.6262 2.9605
Ti -4.9807 2.4565 1.5006
Ti -0.7733 3.6860 2.1646
Ti -1.9458 1.4882 0.5624
Ti 1.0156 5.9068 2.0308
Ti -5.1460 5.4278 0.4803
Ti -2.1846 9.8464 1.9487
Ti -3.3571 7.6486 0.3465
Ir -2.0652 5.6673 1.2556
Ir 0.0000 0.0000 0.0000
Rh -3.0922 7.4420 3.0751
Rh -3.7117 2.6931 -0.6786
Rh -1.0382 3.8926 -0.5640
Rh -2.6499 1.9837 2.8796
Rh 1.6465 2.9742 1.9342
Rh -1.4805 9.3509 -0.3685
! calculated formation energy	-0.399	eV/atom



# 5
! Ca2TmZn | the Alexandria database | PBE-GGA | optimized geometry; values from VASP
&SYSTEM
  ibrav = 0, nat = 4, ntyp = 3
/
ATOMIC_SPECIES
Zn 65.41 Zn.upf
Tm 168.93 Tm.upf
Ca 40.08 Ca.upf
CELL_PARAMETERS angstrom
-1.6720 -0.9035 3.0465
1.0978 -2.8621 1.8697
7.0250 5.3868 7.5691
ATOMIC_POSITIONS angstrom
Zn 3.2254 0.8106 6.2426
Tm 0.0000 0.0000 0.0000
Ca 4.8731 3.4062 5.8007
Ca 1.5777 -1.7850 6.6846
! calculated formation energy	0.210	eV/atom
! offset from the most stable computed form	222	meV per atom



# 6
! ZnCdTeP | the Alexandria database | PBE-GGA | optimized geometry; values from VASP
&SYSTEM
  ibrav = 0, nat = 4, ntyp = 4
/
ATOMIC_SPECIES
Zn 65.41 Zn.upf
Cd 112.41 Cd.upf
Te 127.60 Te.upf
P 30.97 P.upf
CELL_PARAMETERS angstrom
4.0457 0.0000 0.0000
0.0000 4.2121 0.0000
0.0000 0.0000 6.3799
ATOMIC_POSITIONS angstrom
Zn 0.0000 0.0000 5.2366
Cd 2.0229 2.1060 2.6061
Te 0.0000 2.1060 0.5313
P 2.0229 0.0000 4.0481
! offset from the most stable computed form	0	meV per atom
! raw formation energy	-0.11	eV per atom



# 7
! PmErCdCo | the Alexandria database | PBE-GGA | optimized geometry; values from VASP
&SYSTEM
  ibrav = 0, nat = 4, ntyp = 4
/
ATOMIC_SPECIES
Cd 112.41 Cd.upf
Pm 145.00 Pm.upf
Co 58.93 Co.upf
Er 167.26 Er.upf
CELL_PARAMETERS angstrom
-3.3394 1.7174 3.4223
-4.4926 -2.3089 0.5462
-0.9703 -2.7119 4.1854
ATOMIC_POSITIONS angstrom
Cd -2.2006 -0.8258 2.0385
Pm -4.4011 -1.6517 4.0770
Co -6.6017 -2.4775 6.1154
Er 0.0000 0.0000 0.0000
! calculated formation energy	-0.107	eV/atom
! offset from the most stable computed form	111	meV per atom



# 8
! CaHo2Ru | the Alexandria database | PBE-GGA | optimized geometry; values from VASP
&SYSTEM
  ibrav = 0, nat = 4, ntyp = 3
/
ATOMIC_SPECIES
Ru 101.07 Ru.upf
Ca 40.08 Ca.upf
Ho 164.93 Ho.upf
CELL_PARAMETERS angstrom
3.7788 0.0000 0.0000
1.8894 3.2726 0.0000
1.8894 1.0909 10.4237
ATOMIC_POSITIONS angstrom
Ru 3.7788 2.1817 5.2119
Ca 0.0000 0.0000 0.0000
Ho 1.8894 1.0909 6.8309
Ho 5.6682 3.2726 3.5928
! calculated formation energy	0.020	eV/atom
! offset from the most stable computed form	262	meV per atom



# 9
! Rb5Ac3Cl12 | the Alexandria database | PBE-GGA | optimized geometry; values from VASP
&SYSTEM
  ibrav = 0, nat = 80, ntyp = 3
/
ATOMIC_SPECIES
Ac 227.00 Ac.upf
Rb 85.47 Rb.upf
Cl 35.45 Cl.upf
CELL_PARAMETERS angstrom
-14.7034 3.2845 7.1957
11.1068 -4.2460 11.7203
5.3798 13.5650 -8.1119
ATOMIC_POSITIONS angstrom
Ac -6.1900 2.5667 8.7779
Ac -3.8629 1.3850 14.0724
Ac 6.1787 6.5253 6.4187
Ac -0.2701 5.3772 0.2220
Ac -10.1322 5.7344 5.7333
Ac 2.7729 1.9692 7.9956
Ac -0.9897 10.6343 2.8085
Ac 11.9154 6.8691 5.0708
Ac 2.0533 7.2262 10.5821
Ac -4.3955 6.0782 4.3854
Ac 5.6461 11.2184 -3.2684
Ac 7.9732 10.0368 2.0262
Rb 3.6721 2.2096 3.2666
Rb 5.5534 -2.1230 5.8602
Rb 0.0000 0.0000 0.0000
Rb -2.0646 1.8658 4.6145
Rb -4.6618 8.4247 -0.4581
Rb -1.7983 -0.4808 9.4580
Rb 8.5096 2.3129 6.6477
Rb -4.9319 13.8020 -0.2361
Rb -2.0684 4.8965 9.6800
Rb -0.0906 10.8747 -1.9205
Rb 1.8738 1.7288 12.7246
Rb 0.8916 6.3017 5.4020
Rb -7.3517 1.6422 3.5978
Rb 2.6899 6.7825 -4.0560
Rb 3.8516 7.7070 1.1241
Rb 6.7151 -1.1985 11.0402
Rb 8.2433 4.6595 1.8042
Rb -6.7264 10.2905 4.1563
Rb 3.8478 10.7377 6.1896
Rb -1.8889 10.3939 7.5375
Cl -8.1529 2.2794 6.7008
Cl 3.0644 3.9130 5.9012
Cl -8.7410 5.7291 8.2461
Cl -4.8946 3.3090 4.9619
Cl 3.5456 7.6126 6.7855
Cl -6.1987 2.5518 12.8755
Cl 6.2550 4.1292 8.0006
Cl 9.9003 -1.3441 10.8262
Cl 4.8903 6.8838 10.2919
Cl -3.6504 2.1448 10.0515
Cl -4.9562 5.1216 8.3301
Cl -2.4237 -0.2407 15.9527
Cl 8.2364 5.0649 5.0464
Cl -0.4284 -0.1158 6.5141
Cl 11.0423 0.7903 7.8640
Cl -1.6102 9.2467 0.3714
Cl 2.3568 2.2352 0.3542
Cl 1.3293 0.3615 9.8880
Cl -0.0968 2.6619 15.0609
Cl 3.3047 0.2454 5.7605
Cl 10.0207 7.8224 7.0076
Cl 0.8612 5.5460 8.5807
Cl -0.5280 6.7736 11.7575
Cl -2.6208 14.2861 1.9172
Cl 0.9221 7.0575 2.2234
Cl 2.3113 5.8299 -0.9535
Cl 4.4040 -1.6827 8.8869
Cl 1.8801 9.9416 -4.2568
Cl -8.2375 4.7810 3.7964
Cl -1.5214 12.3581 5.0436
Cl 0.4539 12.2420 0.9161
Cl 3.3934 3.3568 10.4327
Cl -0.5736 10.3683 10.4498
Cl -9.2591 11.8132 2.9400
Cl -6.4532 7.5386 5.7577
Cl 4.2069 12.8442 -5.1487
Cl 2.2117 12.7193 4.2899
Cl -3.1071 5.7197 0.5121
Cl 5.4336 10.4586 0.7526
Cl 6.7394 7.4819 2.4739
Cl -8.1170 13.9476 -0.0222
Cl -4.4718 8.4743 2.8034
Cl 6.6778 9.2945 5.8421
Cl 7.9819 10.0516 -2.0714
Cl -1.7624 4.9909 4.0186
Cl 10.5242 6.8744 2.5579
Cl -1.2812 8.6904 4.9028
Cl 9.9362 10.3241 4.1033
! raw formation energy	-1.91	eV per atom



# 10
! RbY2Te6Pb3 | the Alexandria database | PBE-GGA | optimized geometry; values from VASP
&SYSTEM
  ibrav = 0, nat = 12, ntyp = 4
/
ATOMIC_SPECIES
Rb 85.47 Rb.upf
Y 88.91 Y.upf
Te 127.60 Te.upf
Pb 207.20 Pb.upf
CELL_PARAMETERS angstrom
4.4495 0.0000 0.0000
0.0000 9.8846 0.6885
-2.2248 -2.4943 9.6236
ATOMIC_POSITIONS angstrom
Rb 2.2248 0.0000 0.0000
Y 2.2248 4.9386 6.8017
Y 0.0000 2.4517 3.5104
Te 0.0000 7.1299 6.7147
Te 2.2248 4.7039 3.6332
Te 2.2248 0.2604 3.5975
Te 0.0000 2.6567 0.4955
Te 2.2248 4.7336 9.8167
Te 0.0000 2.6864 6.6790
Pb 2.2248 4.9423 0.3443
Pb 2.2248 -0.0066 6.6911
Pb 0.0000 7.3969 3.6211
! raw formation energy	-0.81	eV per atom



# 11
! CeVGa | the Alexandria database | PBE-GGA | optimized geometry; values from VASP
&SYSTEM
  ibrav = 0, nat = 6, ntyp = 3
/
ATOMIC_SPECIES
Ce 140.12 Ce.upf
V 50.94 V.upf
Ga 69.72 Ga.upf
CELL_PARAMETERS angstrom
-1.6203 -2.1206 -3.8416
-0.2711 -2.1598 4.1544
-5.4661 2.4836 0.9345
ATOMIC_POSITIONS angstrom
Ce -3.5432 0.1815 -1.4536
Ce -0.8102 -1.0603 -1.9208
V -1.7214 -0.4359 0.9667
V -5.6361 -1.3610 0.2806
Ga -4.4624 0.7820 1.4505
Ga -2.8951 -2.5789 -0.2032
! calculated formation energy	-0.063	eV/atom
! offset from the most stable computed form	0	meV per atom



# 12
! CaMnIr2 | the Alexandria database | PBE-GGA | optimized geometry; values from VASP
&SYSTEM
  ibrav = 0, nat = 4, ntyp = 3
/
ATOMIC_SPECIES
Ca 40.08 Ca.upf
Ir 192.22 Ir.upf
Mn 54.94 Mn.upf
CELL_PARAMETERS angstrom
-3.0767 -3.1084 -1.2156
-4.4168 0.7864 0.6924
-2.7463 0.7835 -3.5284
ATOMIC_POSITIONS angstrom
Ca 0.0000 0.0000 0.0000
Ir -2.5599 -0.3846 -1.0129
Ir -7.6798 -1.1538 -3.0387
Mn -5.1199 -0.7692 -2.0258
! calculated formation energy	0.104	eV/atom
! offset from the most stable computed form	228	meV per atom



# 13
! TiFe3Si | the Alexandria database | PBE-GGA | optimized geometry; values from VASP
&SYSTEM
  ibrav = 0, nat = 5, ntyp = 3
/
ATOMIC_SPECIES
Si 28.09 Si.upf
Fe 55.84 Fe.upf
Ti 47.87 Ti.upf
CELL_PARAMETERS angstrom
4.1222 0.0000 0.0000
0.0000 4.1222 0.0000
0.0000 0.0000 4.1222
ATOMIC_POSITIONS angstrom
Si 0.0000 0.0000 0.0000
Fe 0.0000 2.0611 0.0000
Fe 0.0000 0.0000 2.0611
Fe 2.0611 0.0000 0.0000
Ti 2.0611 2.0611 2.0611
! offset from the most stable computed form	0	meV per atom
! raw formation energy	0.42	eV per atom



# 14
! NiSnAs | the Alexandria database | PBE-GGA | optimized geometry; values from VASP
&SYSTEM
  ibrav = 0, nat = 12, ntyp = 3
/
ATOMIC_SPECIES
Ni 58.69 Ni.upf
As 74.92 As.upf
Sn 118.71 Sn.upf
CELL_PARAMETERS angstrom
6.3029 -0.3773 0.0000
-1.0100 6.0531 0.0000
0.0000 0.0000 5.9381
ATOMIC_POSITIONS angstrom
Ni 3.1402 3.9981 2.7256
Ni -0.0112 4.1868 0.2434
Ni 5.3041 1.4890 5.6947
Ni 2.1527 1.6777 3.2125
As 3.9636 3.2659 0.5928
As 0.8122 3.4546 2.3762
As 4.4807 2.2212 3.5619
As 1.3293 2.4099 5.3453
Sn 4.6485 5.2394 4.4518
Sn 1.4971 5.4280 4.4554
Sn 3.7958 0.2478 1.4827
Sn 0.6444 0.4364 1.4863
! calculated formation energy	-0.109	eV/atom



# 15
! Dy2Th3Sc | the Alexandria database | PBE-GGA | optimized geometry; values from VASP
&SYSTEM
  ibrav = 0, nat = 12, ntyp = 3
/
ATOMIC_SPECIES
Dy 162.50 Dy.upf
Th 232.04 Th.upf
Sc 44.96 Sc.upf
CELL_PARAMETERS angstrom
6.6675 -0.1341 -0.2341
0.0000 9.6258 -5.5136
0.2057 -2.3082 7.1296
ATOMIC_POSITIONS angstrom
Dy 5.0724 3.3400 -0.1812
Dy 1.8008 3.8436 1.5631
Dy 1.7387 7.8468 -2.6072
Dy 5.1345 -0.6633 3.9891
Th 0.0681 0.8217 1.4374
Th 3.4714 6.4264 0.0629
Th 0.0000 4.8129 -2.7568
Th 3.3337 4.7459 -2.8739
Th 6.8051 6.3619 -0.0556
Th 3.4018 0.7572 1.3189
Sc 1.6669 2.1569 -1.3132
Sc 5.0006 7.3348 -4.4345
! calculated formation energy	0.195	eV/atom



no.,volume (Å³/f.u.)
1,129.75
2,48.92
3,95.55
4,165.87
5,127.97
6,108.72
7,92.74
8,128.90
9,895.68
10,430.91
11,57.77
12,66.14
13,70.04
14,56.07
15,186.67